(1)
A relaxed structure of NaInSb, computed with PBE.

Symmetry: No. 1
E (eV per formula unit): -8.95
V (A^3/atom): 31.8

```
data_NaInSb
_space_group_name_H-M_alt 'P 1'
_space_group_IT_number 1
_cell_length_a 4.5522
_cell_length_b 5.8823
_cell_length_c 7.7875
_cell_angle_alpha 78.13
_cell_angle_beta 87.22
_cell_angle_gamma 69.46
loop_
_space_group_symop_operation_xyz
'x,y,z'
loop_
_atom_site_label
_atom_site_type_symbol
_atom_site_fract_x
_atom_site_fract_y
_atom_site_fract_z
Na1 Na 0.4771 0.9602 0.2674
Na2 Na 0.7446 0.3638 0.5382
In1 In 0.4743 0.8878 0.8026
In2 In 0.2259 0.3682 0.8983
Sb1 Sb 0.6740 0.4575 0.1100
Sb2 Sb 0.0413 0.7771 0.5804
```



(2)
A relaxed structure of KTlRu, computed with PBE.

Calculated formation energy (eV/f.u.): 2.5
Energy above the lowest structure with this stoichiometry (meV/atom): 232
Symmetry: No. 156
E (eV per formula unit): -10.26
V (A^3/atom): 23.8

```
data_KTlRu
_space_group_name_H-M_alt 'P 1'
_space_group_IT_number 1
_cell_length_a 3.2084
_cell_length_b 3.2084
_cell_length_c 8.0089
_cell_angle_alpha 90.00
_cell_angle_beta 90.00
_cell_angle_gamma 120.00
loop_
_space_group_symop_operation_xyz
'x,y,z'
loop_
_atom_site_label
_atom_site_type_symbol
_atom_site_fract_x
_atom_site_fract_y
_atom_site_fract_z
K1 K 0.0000 0.0000 0.0162
Ru1 Ru 0.6667 0.3333 0.3553
Tl1 Tl 0.3333 0.6667 0.6285
```



(3)
A relaxed structure of TcOsRh2, computed with PBE.

Calculated formation energy (eV/f.u.): 0.1
Energy above the lowest structure with this stoichiometry (meV/atom): 96
Symmetry: No. 166
E (eV per formula unit): -36.16
V (A^3/atom): 14.3

```
data_TcOsRh2
_space_group_name_H-M_alt 'P 1'
_space_group_IT_number 1
_cell_length_a 9.0114
_cell_length_b 9.0114
_cell_length_c 9.0114
_cell_angle_alpha 17.39
_cell_angle_beta 17.39
_cell_angle_gamma 17.39
loop_
_space_group_symop_operation_xyz
'x,y,z'
loop_
_atom_site_label
_atom_site_type_symbol
_atom_site_fract_x
_atom_site_fract_y
_atom_site_fract_z
Os1 Os 0.7500 0.7500 0.7500
Rh1 Rh 0.9996 0.9996 0.9996
Rh2 Rh 0.5004 0.5004 0.5004
Tc1 Tc 0.2500 0.2500 0.2500
```



(4)
A relaxed structure of HoEr5Tm12, computed with PBE.

Calculated formation energy (eV/f.u.): 0.2
Symmetry: No. 12
E (eV per formula unit): -80.81
V (A^3/atom): 30.0

```
data_HoEr5Tm12
_space_group_name_H-M_alt 'P 1'
_space_group_IT_number 1
_cell_length_a 6.0614
_cell_length_b 6.0614
_cell_length_c 17.0766
_cell_angle_alpha 86.63
_cell_angle_beta 86.63
_cell_angle_gamma 120.00
loop_
_space_group_symop_operation_xyz
'x,y,z'
loop_
_atom_site_label
_atom_site_type_symbol
_atom_site_fract_x
_atom_site_fract_y
_atom_site_fract_z
Ho1 Ho 0.0000 0.0000 0.0000
Er1 Er 0.5000 0.5000 0.5000
Er2 Er 0.8334 0.1666 0.5000
Er3 Er 0.1666 0.8334 0.5000
Er4 Er 0.3333 0.6667 0.0000
Er5 Er 0.6667 0.3333 0.0000
Tm1 Tm 0.1110 0.1110 0.6682
Tm2 Tm 0.8890 0.8890 0.3318
Tm3 Tm 0.2774 0.2774 0.1665
Tm4 Tm 0.7226 0.7226 0.8335
Tm5 Tm 0.6105 0.9439 0.1665
Tm6 Tm 0.0561 0.3895 0.8335
Tm7 Tm 0.9439 0.6105 0.1665
Tm8 Tm 0.3895 0.0561 0.8335
Tm9 Tm 0.5556 0.2223 0.3319
Tm10 Tm 0.2223 0.5556 0.3319
Tm11 Tm 0.7777 0.4444 0.6681
Tm12 Tm 0.4444 0.7777 0.6681
```



(5)
A relaxed structure of Tl4VI6, computed with PBE.

Symmetry: No. 128
E (eV per formula unit): -34.30
V (A^3/atom): 38.9

```
data_Tl4VI6
_space_group_name_H-M_alt 'P 1'
_space_group_IT_number 1
_cell_length_a 9.2109
_cell_length_b 9.2109
_cell_length_c 10.0774
_cell_angle_alpha 90.00
_cell_angle_beta 90.00
_cell_angle_gamma 90.00
loop_
_space_group_symop_operation_xyz
'x,y,z'
loop_
_atom_site_label
_atom_site_type_symbol
_atom_site_fract_x
_atom_site_fract_y
_atom_site_fract_z
Tl1 Tl 0.3481 0.1520 0.2500
Tl2 Tl 0.1520 0.6520 0.7500
Tl3 Tl 0.6520 0.8480 0.7500
Tl4 Tl 0.8480 0.3481 0.7500
Tl5 Tl 0.3481 0.1520 0.7500
Tl6 Tl 0.1520 0.6520 0.2500
Tl7 Tl 0.8480 0.3481 0.2500
Tl8 Tl 0.6520 0.8480 0.2500
V1 V 0.5000 0.5000 0.0000
V2 V 0.0000 0.0000 0.5000
I1 I 0.2868 0.8705 0.5000
I2 I 0.7868 0.6295 0.0000
I3 I 0.6295 0.2132 0.0000
I4 I 0.1295 0.2868 0.5000
I5 I 0.0000 0.0000 0.2179
I6 I 0.5000 0.5000 0.2821
I7 I 0.3705 0.7868 0.0000
I8 I 0.0000 0.0000 0.7821
I9 I 0.2132 0.3705 0.0000
I10 I 0.5000 0.5000 0.7179
I11 I 0.8705 0.7132 0.5000
I12 I 0.7132 0.1295 0.5000
```



(6)
A relaxed structure of La2TaW, computed with PBE.

Calculated formation energy (eV/f.u.): 2.2
Energy above the lowest structure with this stoichiometry (meV/atom): 229
Symmetry: No. 8
E (eV per formula unit): -32.49
V (A^3/atom): 26.8

```
data_La2TaW
_space_group_name_H-M_alt 'P 1'
_space_group_IT_number 1
_cell_length_a 4.6205
_cell_length_b 4.6205
_cell_length_c 7.5879
_cell_angle_alpha 85.54
_cell_angle_beta 85.54
_cell_angle_gamma 41.62
loop_
_space_group_symop_operation_xyz
'x,y,z'
loop_
_atom_site_label
_atom_site_type_symbol
_atom_site_fract_x
_atom_site_fract_y
_atom_site_fract_z
La1 La 0.9875 0.9875 0.0608
La2 La 0.7590 0.7590 0.6934
Ta1 Ta 0.5120 0.5120 0.4428
W1 W 0.2415 0.2415 0.3030
```



(7)
A relaxed structure of Ca4SbPH, computed with PBE.

Symmetry: No. 107
E (eV per formula unit): -26.97
V (A^3/atom): 24.2

```
data_Ca4SbPH
_space_group_name_H-M_alt 'P 1'
_space_group_IT_number 1
_cell_length_a 4.5599
_cell_length_b 4.5599
_cell_length_c 8.7568
_cell_angle_alpha 105.09
_cell_angle_beta 105.09
_cell_angle_gamma 90.00
loop_
_space_group_symop_operation_xyz
'x,y,z'
loop_
_atom_site_label
_atom_site_type_symbol
_atom_site_fract_x
_atom_site_fract_y
_atom_site_fract_z
Ca1 Ca 0.9963 0.4963 0.9926
Ca2 Ca 0.4963 0.9963 0.9926
Ca3 Ca 0.8293 0.8293 0.6585
Ca4 Ca 0.1915 0.1915 0.3830
Sb1 Sb 0.6389 0.6389 0.2779
P1 P 0.3742 0.3742 0.7484
H1 H 0.9735 0.9735 0.9470
```



(8)
A relaxed structure of VAgHgC2, computed with PBE.

Calculated formation energy (eV/f.u.): 7.1
Symmetry: No. 123
E (eV per formula unit): -23.66
V (A^3/atom): 17.2

```
data_VAgHgC2
_space_group_name_H-M_alt 'P 1'
_space_group_IT_number 1
_cell_length_a 3.8825
_cell_length_b 5.7097
_cell_length_c 3.8825
_cell_angle_alpha 90.00
_cell_angle_beta 90.00
_cell_angle_gamma 90.00
loop_
_space_group_symop_operation_xyz
'x,y,z'
loop_
_atom_site_label
_atom_site_type_symbol
_atom_site_fract_x
_atom_site_fract_y
_atom_site_fract_z
C1 C 0.0000 0.0000 0.5000
C2 C 0.5000 0.0000 0.0000
Hg1 Hg 0.5000 0.5000 0.5000
Ag1 Ag 0.0000 0.5000 0.0000
V1 V 0.0000 0.0000 0.0000
```



(9)
A relaxed structure of Ac2Sm8Y, computed with PBE.

Calculated formation energy (eV/f.u.): 0.4
Energy above the lowest structure with this stoichiometry (meV/atom): 0
Symmetry: No. 12
E (eV per formula unit): -52.04
V (A^3/atom): 35.6

```
data_Ac2Sm8Y
_space_group_name_H-M_alt 'P 1'
_space_group_IT_number 1
_cell_length_a 5.2387
_cell_length_b 8.2529
_cell_length_c 9.7504
_cell_angle_alpha 104.87
_cell_angle_beta 105.58
_cell_angle_gamma 90.00
loop_
_space_group_symop_operation_xyz
'x,y,z'
loop_
_atom_site_label
_atom_site_type_symbol
_atom_site_fract_x
_atom_site_fract_y
_atom_site_fract_z
Ac1 Ac 0.2261 0.6413 0.4522
Ac2 Ac 0.7739 0.3587 0.5478
Sm1 Sm 0.5875 0.4502 0.1750
Sm2 Sm 0.3215 0.0936 0.6430
Sm3 Sm 0.1333 0.1712 0.2666
Sm4 Sm 0.0424 0.7276 0.0848
Sm5 Sm 0.8667 0.8288 0.7334
Sm6 Sm 0.6785 0.9064 0.3570
Sm7 Sm 0.4125 0.5498 0.8250
Sm8 Sm 0.9576 0.2724 0.9152
Y1 Y 0.5000 0.0000 0.0000
```



(10)
A relaxed structure of TbTh2ScAs4, computed with PBE.

Calculated formation energy (eV/f.u.): -11.3
Symmetry: No. 10
E (eV per formula unit): -55.68
V (A^3/atom): 25.1

```
data_TbTh2ScAs4
_space_group_name_H-M_alt 'P 1'
_space_group_IT_number 1
_cell_length_a 4.1633
_cell_length_b 7.1162
_cell_length_c 7.2063
_cell_angle_alpha 70.19
_cell_angle_beta 90.00
_cell_angle_gamma 90.00
loop_
_space_group_symop_operation_xyz
'x,y,z'
loop_
_atom_site_label
_atom_site_type_symbol
_atom_site_fract_x
_atom_site_fract_y
_atom_site_fract_z
Tb1 Tb 0.0000 0.5000 0.5000
Th1 Th 0.0000 0.0000 0.0000
Th2 Th 0.5000 0.0000 0.5000
Sc1 Sc 0.5000 0.5000 0.0000
As1 As 0.0000 0.7327 0.7622
As2 As 0.0000 0.2673 0.2378
As3 As 0.5000 0.7375 0.2480
As4 As 0.5000 0.2625 0.7520
```



(11)
A relaxed structure of ZrTe, computed with PBE.

Symmetry: No. 164
E (eV per formula unit): -12.45
V (A^3/atom): 28.5

```
data_ZrTe
_space_group_name_H-M_alt 'P 1'
_space_group_IT_number 1
_cell_length_a 3.7513
_cell_length_b 3.7513
_cell_length_c 9.3702
_cell_angle_alpha 90.00
_cell_angle_beta 90.00
_cell_angle_gamma 120.00
loop_
_space_group_symop_operation_xyz
'x,y,z'
loop_
_atom_site_label
_atom_site_type_symbol
_atom_site_fract_x
_atom_site_fract_y
_atom_site_fract_z
Te1 Te 0.0000 0.0000 0.9542
Te2 Te 0.6667 0.3333 0.2958
Zr1 Zr 0.0000 0.0000 0.4966
Zr2 Zr 0.6667 0.3333 0.7534
```



(12)
A relaxed structure of SrTc4, computed with PBE.

Calculated formation energy (eV/f.u.): 15.8
Symmetry: No. 221
E (eV per formula unit): -27.37
V (A^3/atom): 20.4

```
data_SrTc4
_space_group_name_H-M_alt 'P 1'
_space_group_IT_number 1
_cell_length_a 4.6745
_cell_length_b 4.6745
_cell_length_c 4.6745
_cell_angle_alpha 90.00
_cell_angle_beta 90.00
_cell_angle_gamma 90.00
loop_
_space_group_symop_operation_xyz
'x,y,z'
loop_
_atom_site_label
_atom_site_type_symbol
_atom_site_fract_x
_atom_site_fract_y
_atom_site_fract_z
Sr1 Sr 0.5000 0.5000 0.5000
Tc1 Tc 0.0000 0.0000 0.0000
Tc2 Tc 0.5000 0.0000 0.5000
Tc3 Tc 0.0000 0.5000 0.5000
Tc4 Tc 0.5000 0.5000 0.0000
```



Look up the V of the ninth one. 35.6 A^3/atom